DFT (GGA+U) results for crystalline VSb2OF at its relaxed geometry.

```
VSb2OF
1.0
-5.109 0.201 -1.683
0.130 -3.442 -0.806
-1.683 -1.226 4.964
Sb F O V
2 1 1 1
direct
0.000 0.000 0.500
0.500 0.000 0.000
0.500 0.500 0.500
0.000 0.500 0.000
0.000 0.000 0.000
```

## Properties
**Crystal system**: tetragonal
**Energy above the lowest structure with this stoichiometry**: 0.0 kJ/mol of formula units
**V**: 20.503 Å³/atom
**DOS(E_F)**: 3.09 states/eV/f.u.